[1]
LiCe2Sb3Pd4: optimized geometry, PBE.

Values from the calculation:
**Electronic total energy**: -0.4038 Ry per atom
**Symmetry**: P-4m2, No. 115
**Formation energy without anion corrections**: -802 meV per atom
**Spin magnetization**: 0.168 μB per atom
**D(E_F)**: 15.880 states/eV per cell

Cell: 4.4653 4.4653 10.8534 Å, 90.00 90.00 90.00°
Last column: nearest neighbours and their distance in Å.
Atoms (fractional coordinates):
1 Li 0.5000 0.5000 0.5000  4 Pd 2.62
2 Ce 0.5000 0.0000 0.2428  6 Sb 3.36-3.57, 8 Pd 3.45-3.47, 2 Li 3.57
3 Ce 0.0000 0.5000 0.7572  6 Sb 3.36-3.57, 8 Pd 3.45-3.47, 2 Li 3.57
4 Sb 0.0000 0.0000 0.5000  4 Pd 2.62
5 Sb 0.5000 0.0000 0.8624  5 Pd 2.57-2.69
6 Sb 0.0000 0.5000 0.1376  5 Pd 2.57-2.69
7 Pd 0.5000 0.5000 0.0000  4 Sb 2.69
8 Pd 0.0000 0.0000 0.0000  4 Sb 2.69
9 Pd 0.5000 0.0000 0.6257  3 Sb 2.57-2.62, 2 Li 2.62
10 Pd 0.0000 0.5000 0.3743  3 Sb 2.57-2.62, 2 Li 2.62



[2]
LiCeScPd: optimized geometry, PBE.

Values from the calculation:
**Electronic total energy**: -0.3744 Ry per atom
**Symmetry**: F-43m, No. 216
**Formation energy from the elements**: -0.25 eV per atom
**Spin magnetization**: 0.251 μB per atom
**D(E_F)**: 8.738 states/eV per cell

Cell: 4.9396 4.9396 4.9396 Å, 60.00 60.00 60.00°
Last column: nearest neighbours and their distance in Å.
Atoms (fractional coordinates):
1 Sc 0.2500 0.2500 0.2500  4 Li 3.02, 4 Pd 3.02
2 Pd 0.0000 0.0000 0.0000  4 Sc 3.02, 4 Ce 3.02
3 Ce 0.7500 0.7500 0.7500  4 Li 3.02, 4 Pd 3.02
4 Li 0.5000 0.5000 0.5000  4 Ce 3.02, 4 Sc 3.02



[3]
LiCeSc2Pd4: optimized geometry, PBE.

Values from the calculation:
**Electronic total energy**: -0.4315 Ry per atom
**Symmetry**: R-3m, No. 166
**Formation energy from the elements**: -0.71 eV per atom
**Spin magnetization**: 0.101 μB per atom
**D(E_F)**: 9.045 states/eV per cell

Cell: 4.6182 4.6182 8.5812 Å, 74.39 74.39 60.00°
Last column: nearest neighbours and their distance in Å.
Atoms (fractional coordinates):
1 Li 0.5000 0.5000 0.5000  8 Pd 2.61-2.86
2 Ce 0.0000 0.0000 0.0000  8 Pd 3.04
3 Sc 0.7641 0.7641 0.7077  7 Pd 2.73-2.82
4 Sc 0.2359 0.2359 0.2923  7 Pd 2.73-2.82
5 Pd 0.3931 0.3931 0.8206  1 Li 2.61, 3 Sc 2.82
6 Pd 0.8756 0.8756 0.3731  4 Sc 2.73-2.75, 3 Li 2.86, 1 Ce 3.04
7 Pd 0.1244 0.1244 0.6269  4 Sc 2.73-2.75, 3 Li 2.86, 1 Ce 3.04
8 Pd 0.6069 0.6069 0.1794  1 Li 2.61, 3 Sc 2.82



[4]
Li3Ce3PdSe8: optimized geometry, PBE.

Values from the calculation:
**Electronic total energy**: -0.3742 Ry per atom
**Symmetry**: R-3m, No. 166
**Formation energy without anion corrections**: -1318 meV per atom
**Spin magnetization**: 0.109 μB per atom
**D(E_F)**: 16.869 states/eV per cell

Cell: 8.1372 8.1370 7.9878 Å, 120.63 90.00 120.00°
Last column: nearest neighbours and their distance in Å.
Atoms (fractional coordinates):
1 Li 0.0000 0.0000 0.0000  6 Se 2.80
2 Li 0.0000 0.5000 0.0000  6 Se 2.80
3 Li 0.5000 0.5000 0.0000  6 Se 2.80
4 Ce 0.5000 0.0000 0.5000  6 Se 2.90-2.91
5 Ce 0.5000 0.5000 0.5000  6 Se 2.90-2.91
6 Ce 0.0000 0.5000 0.5000  6 Se 2.90-2.91
7 Pd 0.0000 0.0000 0.5000  6 Se 2.70
8 Se 0.2456 0.4911 0.2368  3 Li 2.80, 3 Ce 2.90
9 Se 0.7544 0.5089 0.7632  3 Li 2.80, 3 Ce 2.90
10 Se 0.7633 0.5267 0.2548  1 Pd 2.70, 2 Li 2.80, 2 Ce 2.91
11 Se 0.2367 0.4733 0.7452  1 Pd 2.70, 2 Li 2.80, 2 Ce 2.91
12 Se 0.7631 0.9915 0.2546  1 Pd 2.70, 2 Li 2.80, 2 Ce 2.90-2.91
13 Se 0.2369 0.0085 0.7454  1 Pd 2.70, 2 Li 2.80, 2 Ce 2.90-2.91
14 Se 0.2283 0.9915 0.2546  1 Pd 2.70, 2 Li 2.80, 2 Ce 2.90-2.91
15 Se 0.7717 0.0085 0.7454  1 Pd 2.70, 2 Li 2.80, 2 Ce 2.90-2.91



[5]
LiCe2Si3Pd4: optimized geometry, PBE.

Values from the calculation:
**Electronic total energy**: -0.4344 Ry per atom
**Symmetry**: P-4m2, No. 115
**Formation energy without anion corrections**: -828 meV per atom
**Spin magnetization**: 0.121 μB per atom
**D(E_F)**: 11.878 states/eV per cell

Cell: 4.2236 4.2236 9.9993 Å, 90.00 90.00 90.00°
Last column: nearest neighbours and their distance in Å.
Atoms (fractional coordinates):
1 Li 0.5000 0.5000 0.5000  4 Pd 2.47
2 Ce 0.5000 0.0000 0.2519  8 Pd 3.22-3.29, 6 Si 3.22-3.26, 2 Li 3.26
3 Ce 0.0000 0.5000 0.7481  8 Pd 3.22-3.29, 6 Si 3.22-3.26, 2 Li 3.26
4 Si 0.0000 0.0000 0.5000  4 Pd 2.47
5 Si 0.5000 0.0000 0.8690  5 Pd 2.41-2.48
6 Si 0.0000 0.5000 0.1310  5 Pd 2.41-2.48
7 Pd 0.5000 0.5000 0.0000  4 Si 2.48
8 Pd 0.0000 0.0000 0.0000  4 Si 2.48
9 Pd 0.5000 0.0000 0.6279  3 Si 2.41-2.47, 2 Li 2.47
10 Pd 0.0000 0.5000 0.3721  3 Si 2.41-2.47, 2 Li 2.47



[6]
LiCeSi2Pd: optimized geometry, PBE.

Values from the calculation:
**Electronic total energy**: -0.4063 Ry per atom
**Symmetry**: I-4m2, No. 119
**Formation energy without anion corrections**: -750 meV per atom
**Spin magnetization**: 0.066 μB per atom
**D(E_F)**: 3.985 states/eV per cell

Cell: 4.0851 4.0851 5.9668 Å, 110.02 110.02 90.00°
Last column: nearest neighbours and their distance in Å.
Atoms (fractional coordinates):
1 Li 0.2500 0.7500 0.5000  4 Si 2.50
2 Ce 0.0000 0.0000 0.0000  8 Si 3.12, 4 Pd 3.31, 4 Li 3.31
3 Si 0.6119 0.6119 0.2239  1 Si 2.34, 2 Li 2.50, 2 Pd 2.50
4 Si 0.3881 0.3881 0.7761  1 Si 2.34, 2 Li 2.50, 2 Pd 2.50
5 Pd 0.7500 0.2500 0.5000  4 Si 2.50



[7]
LiCe3Si6Pd2: optimized geometry, PBE.

Values from the calculation:
**Electronic total energy**: -0.4165 Ry per atom
**Symmetry**: P-3m1, No. 164
**Formation energy without anion corrections**: -447 meV per atom
**Spin magnetization**: 0.070 μB per atom
**D(E_F)**: 13.757 states/eV per cell

Cell: 5.8161 5.8161 7.9446 Å, 90.00 90.00 120.00°
Last column: nearest neighbours and their distance in Å.
Atoms (fractional coordinates):
1 Li 0.0000 0.0000 0.5000  6 Si 2.54
2 Ce 0.3333 0.6667 0.6294  9 Si 2.99-3.04, 1 Pd 3.23
3 Ce 0.6667 0.3333 0.3706  9 Si 2.99-3.04, 1 Pd 3.23
4 Ce 0.0000 0.0000 0.0000  6 Si 3.02, 6 Pd 3.37
5 Si 0.6160 0.8080 0.2919  2 Si 2.47, 1 Pd 2.49, 1 Li 2.54
6 Si 0.1920 0.3840 0.2919  2 Si 2.47, 1 Pd 2.49, 1 Li 2.54
7 Si 0.1920 0.8080 0.2919  2 Si 2.47, 1 Pd 2.49, 1 Li 2.54
8 Si 0.8080 0.6160 0.7081  2 Si 2.47, 1 Pd 2.49, 1 Li 2.54
9 Si 0.3840 0.1920 0.7081  2 Si 2.47, 1 Pd 2.49, 1 Li 2.54
10 Si 0.8080 0.1920 0.7081  2 Si 2.47, 1 Pd 2.49, 1 Li 2.54
11 Pd 0.6667 0.3333 0.9645  3 Si 2.49
12 Pd 0.3333 0.6667 0.0355  3 Si 2.49



[8]
LiCe2SiPd6: optimized geometry, PBE.

Values from the calculation:
**Electronic total energy**: -0.4097 Ry per atom
**Symmetry**: P-1, No. 2
**Formation energy without anion corrections**: -538 meV per atom
**Spin magnetization**: 0.158 μB per atom
**D(E_F)**: 15.110 states/eV per cell

Cell: 5.7635 7.5842 5.7668 Å, 67.69 60.01 90.10°
Last column: nearest neighbours and their distance in Å.
Atoms (fractional coordinates):
1 Li 0.0000 0.0000 0.0000  6 Pd 2.37-2.38
2 Ce 0.7748 0.3268 0.4470  6 Pd 2.93-2.94
3 Ce 0.2252 0.6732 0.5530  6 Pd 2.93-2.94
4 Si 0.5000 0.5000 0.0000  6 Pd 2.39
5 Pd 0.2475 0.2483 0.4999  1 Li 2.38, 1 Si 2.39
6 Pd 0.7510 0.7481 0.0046  1 Li 2.37, 1 Si 2.39
7 Pd 0.2499 0.7506 0.0030  1 Li 2.38, 1 Si 2.39
8 Pd 0.7501 0.2494 0.9970  1 Li 2.38, 1 Si 2.39
9 Pd 0.2490 0.2519 0.9954  1 Li 2.37, 1 Si 2.39
10 Pd 0.7525 0.7517 0.5001  1 Li 2.38, 1 Si 2.39



[9]
LiCeSmPd: optimized geometry, PBE.

Values from the calculation:
**Electronic total energy**: -0.3435 Ry per atom
**Symmetry**: F-43m, No. 216
**Formation energy from the elements**: -0.23 eV per atom
**Spin magnetization**: 0.248 μB per atom
**D(E_F)**: 8.863 states/eV per cell

Cell: 5.1243 5.1243 5.1243 Å, 60.00 60.00 60.00°
Last column: nearest neighbours and their distance in Å.
Atoms (fractional coordinates):
1 Pd 0.5000 0.5000 0.5000  4 Ce 3.14, 4 Sm 3.14
2 Ce 0.2500 0.2500 0.2500  4 Li 3.14, 4 Pd 3.14
3 Sm 0.7500 0.7500 0.7500  4 Pd 3.14, 4 Li 3.14
4 Li 0.0000 0.0000 0.0000  4 Sm 3.14, 4 Ce 3.14



[10]
LiCeSnPd: optimized geometry, PBE.

Values from the calculation:
**Electronic total energy**: -0.3622 Ry per atom
**Symmetry**: F-43m, No. 216
**Formation energy from the elements**: -0.67 eV per atom
**Spin magnetization**: 0.235 μB per atom
**D(E_F)**: 6.478 states/eV per cell

Cell: 4.8649 4.8649 4.8649 Å, 60.00 60.00 60.00°
Last column: nearest neighbours and their distance in Å.
Atoms (fractional coordinates):
1 Pd 0.0000 0.0000 0.0000  4 Ce 2.98, 4 Sn 2.98
2 Sn 0.2500 0.2500 0.2500  4 Pd 2.98, 4 Li 2.98
3 Ce 0.7500 0.7500 0.7500  4 Pd 2.98, 4 Li 2.98
4 Li 0.5000 0.5000 0.5000  4 Sn 2.98, 4 Ce 2.98



[11]
LiCe2Sn4Pd3: optimized geometry, PBE.

Values from the calculation:
**Electronic total energy**: -0.3818 Ry per atom
**Symmetry**: P-4m2, No. 115
**Formation energy from the elements**: -0.66 eV per atom
**Spin magnetization**: 0.175 μB per atom
**D(E_F)**: 16.071 states/eV per cell

Cell: 4.5129 4.5129 11.1054 Å, 90.00 90.00 90.00°
Last column: nearest neighbours and their distance in Å.
Atoms (fractional coordinates):
1 Li 0.5000 0.5000 0.5000  4 Sn 2.69
2 Ce 0.5000 0.0000 0.2561  8 Sn 3.43-3.63, 6 Pd 3.47-3.53, 2 Li 3.53
3 Ce 0.0000 0.5000 0.7439  8 Sn 3.43-3.63, 6 Pd 3.47-3.53, 2 Li 3.53
4 Sn 0.5000 0.5000 0.0000  4 Pd 2.70
5 Sn 0.0000 0.0000 0.0000  4 Pd 2.70
6 Sn 0.5000 0.0000 0.6314  3 Pd 2.61-2.69, 2 Li 2.69
7 Sn 0.0000 0.5000 0.3686  3 Pd 2.61-2.69, 2 Li 2.69
8 Pd 0.0000 0.0000 0.5000  4 Sn 2.69
9 Pd 0.5000 0.0000 0.8666  5 Sn 2.61-2.70
10 Pd 0.0000 0.5000 0.1334  5 Sn 2.61-2.70



[12]
LiCeSn2Pd4: optimized geometry, PBE.

Values from the calculation:
**Electronic total energy**: -0.3868 Ry per atom
**Symmetry**: R-3m, No. 166
**Formation energy from the elements**: -0.68 eV per atom
**Spin magnetization**: 0.085 μB per atom
**D(E_F)**: 7.661 states/eV per cell

Cell: 4.5453 4.5453 8.8008 Å, 75.03 75.03 60.00°
Last column: nearest neighbours and their distance in Å.
Atoms (fractional coordinates):
1 Li 0.5000 0.5000 0.5000  8 Pd 2.59-2.78
2 Ce 0.0000 0.0000 0.0000  8 Pd 3.08-3.29
3 Sn 0.7597 0.7597 0.7209  7 Pd 2.72-2.79
4 Sn 0.2403 0.2403 0.2791  7 Pd 2.72-2.79
5 Pd 0.3974 0.3974 0.8078  1 Li 2.59, 3 Sn 2.72
6 Pd 0.8694 0.8694 0.3917  4 Sn 2.77-2.79, 3 Li 2.78
7 Pd 0.1306 0.1306 0.6083  4 Sn 2.77-2.79, 3 Li 2.78
8 Pd 0.6026 0.6026 0.1922  1 Li 2.59, 3 Sn 2.72